Entry from the Open Quantum Materials Database: a relaxed CsKCoO2 crystal (GGA+U).

Cell: 4.104 4.104 13.662 Å, 90.00 90.00 90.00°
Atoms (fractional coordinates):
1 Cs 0.000 0.000 0.000
2 Cs 0.500 0.500 0.500
3 K 0.000 0.000 0.684
4 K 0.500 0.500 0.184
5 Co 0.000 0.000 0.336
6 Co 0.500 0.500 0.836
7 O 0.000 0.000 0.210
8 O 0.000 0.000 0.462
9 O 0.500 0.500 0.710
10 O 0.500 0.500 0.962

theoretical density	3.795	Mg/m³
calculated volume	23.01	A^3/atom
E	-22.62	eV per formula unit
space group	No. 107